A plane-wave DFT calculation with GGA-PBE was carried out for a relaxed NaSb2Pt2 crystal.

The structure in POSCAR format:
```
NaSb2Pt2
1.0
7.746 0.000 0.000
0.000 7.746 0.000
0.000 0.000 3.500
Na Sb Pt
2 4 4
direct
0.000 0.000 0.000
0.500 0.500 0.000
0.165 0.335 0.500
0.335 0.835 0.500
0.665 0.165 0.500
0.835 0.665 0.500
0.131 0.631 0.000
0.369 0.131 0.000
0.631 0.869 0.000
0.869 0.369 0.000
```

Properties
The space group is No. 127. The formation energy (no corrections) is -0.297 eV per atom. For the final energy, the calculation gives -46.27 eV for the cell shown. The polymorph energy (0 for the lowest one) comes out at 0.154 eV/atom.

=====

A plane-wave DFT calculation with GGA-PBE was carried out for a relaxed NaSbPt3 crystal.

The structure in POSCAR format:
```
NaSbPt3
1.0
5.010 0.000 0.000
0.000 5.010 0.000
0.000 0.000 5.010
Na Sb Pt
1 1 3
direct
0.000 0.000 0.000
0.500 0.500 0.500
0.000 0.500 0.500
0.500 0.000 0.500
0.500 0.500 0.000
```

Properties
The space group is No. 221. The formation energy (no corrections) is 0.354 eV per atom. For the final energy, the calculation gives -21.79 eV for the cell shown. The polymorph energy (0 for the lowest one) comes out at 0.000 eV/atom.

=====

Question: The lowest final energy belongs to which entry?
Answer: NaSb2Pt2

=====

Copy entry 2 word for word.
A plane-wave DFT calculation with GGA-PBE was carried out for a relaxed NaSbPt3 crystal.

The structure in POSCAR format:
```
NaSbPt3
1.0
5.010 0.000 0.000
0.000 5.010 0.000
0.000 0.000 5.010
Na Sb Pt
1 1 3
direct
0.000 0.000 0.000
0.500 0.500 0.500
0.000 0.500 0.500
0.500 0.000 0.500
0.500 0.500 0.000
```

Properties
The space group is No. 221. The formation energy (no corrections) is 0.354 eV per atom. For the final energy, the calculation gives -21.79 eV for the cell shown. The polymorph energy (0 for the lowest one) comes out at 0.000 eV/atom.

=====

Repeat the second record exactly.
A plane-wave DFT calculation with GGA-PBE was carried out for a relaxed NaSbPt3 crystal.

The structure in POSCAR format:
```
NaSbPt3
1.0
5.010 0.000 0.000
0.000 5.010 0.000
0.000 0.000 5.010
Na Sb Pt
1 1 3
direct
0.000 0.000 0.000
0.500 0.500 0.500
0.000 0.500 0.500
0.500 0.000 0.500
0.500 0.500 0.000
```

Properties
The space group is No. 221. The formation energy (no corrections) is 0.354 eV per atom. For the final energy, the calculation gives -21.79 eV for the cell shown. The polymorph energy (0 for the lowest one) comes out at 0.000 eV/atom.